## Ca3Ge3Ir2 (GGA-PBE)

Data for a relaxed Ca3Ge3Ir2 crystal.

Cell: 5.867 8.150 14.544 Å, 90.00 90.00 90.00°
Atoms (fractional coordinates):
Ge1 0.868 0.816 0.044
Ge2 0.368 0.684 0.956
Ge3 0.632 0.316 0.456
Ge4 0.132 0.184 0.956
Ge5 0.132 0.184 0.544
Ge6 0.091 0.149 0.250
Ge7 0.368 0.684 0.544
Ge8 0.409 0.649 0.250
Ge9 0.909 0.851 0.750
Ge10 0.591 0.351 0.750
Ge11 0.868 0.816 0.456
Ge12 0.632 0.316 0.044
Ca1 0.877 0.547 0.612
Ca2 0.377 0.953 0.388
Ca3 0.123 0.453 0.388
Ca4 0.126 0.194 0.750
Ca5 0.374 0.694 0.750
Ca6 0.623 0.047 0.612
Ca7 0.874 0.806 0.250
Ca8 0.626 0.306 0.250
Ca9 0.623 0.047 0.888
Ca10 0.877 0.547 0.888
Ca11 0.123 0.453 0.112
Ca12 0.377 0.953 0.112
Ir1 0.895 0.102 0.407
Ir2 0.105 0.898 0.593
Ir3 0.605 0.602 0.407
Ir4 0.105 0.898 0.907
Ir5 0.895 0.102 0.093
Ir6 0.395 0.398 0.593
Ir7 0.395 0.398 0.907
Ir8 0.605 0.602 0.093

## Properties
Total magnetization: 0.000 μB per atom
Space group: Pnma (62)
Calculated formation energy: -512 kJ/mol of formula units